TbPr2NdSm6 | PBE-GGA | optimized geometry

Calculated values
The calculation puts the calculated volume at 691.05 Å³/cell. The calculation puts the formation energy at 114 kJ/mol of formula units. Its calculated total energy is -4.609 eV/atom.

Lattice parameters (Å, degrees): 9.9869 8.9224 8.9224 118.18 94.89 94.89
Fractional positions:
Tb (0.2500, 0.9840, 0.0160)
Tb (0.7500, 0.0160, 0.9840)
Nd (0.7500, 0.5947, 0.4053)
Nd (0.2500, 0.4053, 0.5947)
Sm (0.8123, 0.4210, 0.9757)
Sm (0.1877, 0.5790, 0.0243)
Sm (0.5568, 0.7441, 0.1218)
Sm (0.8789, 0.2939, 0.4995)
Sm (0.3123, 0.9757, 0.4210)
Sm (0.6211, 0.5005, 0.7061)
Sm (0.0568, 0.1218, 0.7441)
Sm (0.4432, 0.2559, 0.8782)
Sm (0.1211, 0.7061, 0.5005)
Sm (0.9432, 0.8782, 0.2559)
Sm (0.3789, 0.4995, 0.2939)
Sm (0.6877, 0.0243, 0.5790)
Pr (0.5406, 0.1875, 0.2900)
Pr (0.0406, 0.2900, 0.1875)
Pr (0.4594, 0.8125, 0.7100)
Pr (0.9594, 0.7100, 0.8125)